Density functional theory data (PBE-GGA) for crystalline BeSiTc2F at its relaxed geometry.

Summary:
Density of states at the Fermi level ... 5.2 states/eV/f.u.
Magnetization ... 3.224 μB per formula unit
Space-group type ... No. 123
Final energy ... -5.645 eV/atom

Cell lengths 4.2766, 4.2766, 3.8669 Å; angles 90.00, 90.00, 90.00 degrees
Closest atoms and distances in Å follow each position.
Fractional coordinates of all 5 atoms:
Be1 0.0000 0.0000 0.0000  2 Si 1.93, 4 Tc 2.14
Si1 0.0000 0.0000 0.5000  2 Be 1.93
Tc1 0.0000 0.5000 0.0000  2 Be 2.14
Tc2 0.5000 0.0000 0.0000  2 Be 2.14
F1 0.5000 0.5000 0.5000  8 Tc 2.88, 4 Si 3.02



Density functional theory data (PBE-GGA) for crystalline CdFeTe2 at its relaxed geometry.

Summary:
Density of states at the Fermi level ... 5.8 states/eV/f.u.
Magnetization ... 3.785 μB per formula unit
Space-group type ... No. 99
Final energy ... -3.765 eV/atom

Cell lengths 3.9805, 3.9805, 6.8476 Å; angles 90.00, 90.00, 90.00 degrees
Closest atoms and distances in Å follow each position.
Fractional coordinates of all 4 atoms:
Cd1 0.0000 0.0000 0.0000  5 Te 2.85-2.91
Fe1 0.5000 0.5000 0.2929  5 Te 2.74-2.94
Te1 0.0000 0.0000 0.4167  1 Cd 2.85, 4 Fe 2.94
Te2 0.5000 0.5000 0.8928  1 Fe 2.74, 4 Cd 2.91



Density functional theory data (PBE-GGA) for crystalline Na3NpBr6 at its relaxed geometry.

Summary:
Density of states at the Fermi level ... 5.3 states/eV/f.u.
Magnetization ... 4.000 μB per formula unit
Space-group type ... No. 14
Final energy ... -4.139 eV/atom

Cell lengths 7.3307, 7.8531, 13.2026 Å; angles 90.00, 123.19, 90.00 degrees
Closest atoms and distances in Å follow each position.
Fractional coordinates of all 20 atoms:
Na1 0.0000 0.0000 0.0000  6 Br 2.94-3.11
Na2 0.0000 0.5000 0.5000  6 Br 2.94-3.11
Na3 0.2176 0.0848 0.7487  4 Br 3.02-3.07
Na4 0.2176 0.4152 0.2487  4 Br 3.02-3.07
Na5 0.7824 0.5848 0.7513  4 Br 3.02-3.07
Na6 0.7824 0.9152 0.2513  4 Br 3.02-3.07
Np1 0.5000 0.0000 0.5000  6 Br 2.88-2.92
Np2 0.5000 0.5000 0.0000  6 Br 2.88-2.92
Br1 0.1042 0.1827 0.4235  1 Np 2.88, 2 Na 2.94-3.05
Br2 0.1042 0.3173 0.9235  1 Np 2.88, 2 Na 2.94-3.05
Br3 0.2542 0.6860 0.4241  1 Np 2.89, 2 Na 2.94-3.05
Br4 0.2542 0.8140 0.9241  1 Np 2.89, 2 Na 2.94-3.05
Br5 0.4048 0.0689 0.2582  1 Np 2.92, 3 Na 3.02-3.11
Br6 0.4048 0.4311 0.7582  1 Np 2.92, 3 Na 3.02-3.11
Br7 0.5952 0.5689 0.2418  1 Np 2.92, 3 Na 3.02-3.11
Br8 0.5952 0.9311 0.7418  1 Np 2.92, 3 Na 3.02-3.11
Br9 0.7458 0.1860 0.0759  1 Np 2.89, 2 Na 2.94-3.05
Br10 0.7458 0.3140 0.5759  1 Np 2.89, 2 Na 2.94-3.05
Br11 0.8958 0.6827 0.0765  1 Np 2.88, 2 Na 2.94-3.05
Br12 0.8958 0.8173 0.5765  1 Np 2.88, 2 Na 2.94-3.05



Density functional theory data (PBE-GGA) for crystalline CsRbNaH3 at its relaxed geometry.

Summary:
Density of states at the Fermi level ... 0.0 states/eV/f.u.
Magnetization ... 0.000 μB per formula unit
Space-group type ... No. 11
Final energy ... -2.338 eV/atom

Cell lengths 8.8984, 4.2076, 9.1284 Å; angles 90.00, 97.45, 90.00 degrees
Closest atoms and distances in Å follow each position.
Fractional coordinates of all 12 atoms:
Cs1 0.1671 0.2500 0.1895  5 H 3.06-3.30
Cs2 0.8329 0.7500 0.8105  5 H 3.06-3.30
Rb1 0.3674 0.7500 0.8337  5 H 2.87-3.05
Rb2 0.6326 0.2500 0.1663  5 H 2.87-3.05
Na1 0.1005 0.2500 0.6003  4 H 2.18-2.31
Na2 0.8995 0.7500 0.3997  4 H 2.18-2.31
H1 0.1206 0.2500 0.8407  1 Na 2.18
H2 0.1457 0.7500 0.5161  3 Na 2.29-2.31
H3 0.4092 0.7500 0.1506  3 Rb 2.87-2.89, 2 Cs 3.06
H4 0.5908 0.2500 0.8494  3 Rb 2.87-2.89, 2 Cs 3.06
H5 0.8543 0.2500 0.4839  3 Na 2.29-2.31
H6 0.8794 0.7500 0.1593  1 Na 2.18



Density functional theory data (PBE-GGA) for crystalline Sr2AuSe at its relaxed geometry.

Summary:
Density of states at the Fermi level ... 2.1 states/eV/f.u.
Magnetization ... 0.000 μB per formula unit
Space-group type ... No. 160
Final energy ... -3.786 eV/atom

Cell lengths 8.0838, 8.0838, 8.0838 Å; angles 31.72, 31.72, 31.72 degrees
Closest atoms and distances in Å follow each position.
Fractional coordinates of all 4 atoms:
Sr1 0.0000 0.0000 0.0000  3 Se 3.18, 3 Au 3.19
Sr2 0.1668 0.1668 0.1668  3 Au 3.19, 3 Se 3.20
Au1 0.5836 0.5836 0.5836  6 Sr 3.19
Se1 0.7495 0.7495 0.7495  6 Sr 3.18-3.20



Density functional theory data (PBE-GGA) for crystalline NiTeRu2 at its relaxed geometry.

Summary:
Density of states at the Fermi level ... 3.8 states/eV/f.u.
Magnetization ... 1.169 μB per formula unit
Space-group type ... No. 99
Final energy ... -6.500 eV/atom

Cell lengths 3.3242, 3.3242, 5.6208 Å; angles 90.00, 90.00, 90.00 degrees
Closest atoms and distances in Å follow each position.
Fractional coordinates of all 4 atoms:
Ni1 0.0000 0.0000 0.0000  5 Ru 2.55-2.65, 4 Te 2.75
Te1 0.5000 0.5000 0.7469  6 Ru 2.65-2.97, 4 Ni 2.75
Ru1 0.0000 0.0000 0.4536  1 Ni 2.55, 4 Ru 2.70
Ru2 0.5000 0.5000 0.2189  2 Te 2.65-2.97, 4 Ni 2.65, 4 Ru 2.70



Density functional theory data (PBE-GGA) for crystalline CsBi2Ir2 at its relaxed geometry.

Summary:
Density of states at the Fermi level ... 3.1 states/eV/f.u.
Magnetization ... 0.000 μB per formula unit
Space-group type ... No. 127
Energy of formation from the pure elements ... 41.50 kJ per mole of atoms
Final energy ... -4.837 eV/atom

Cell lengths 8.8119, 8.8119, 3.3184 Å; angles 90.00, 90.00, 90.00 degrees
Closest atoms and distances in Å follow each position.
Fractional coordinates of all 10 atoms:
Cs1 0.0000 0.0000 0.0000  2 Cs 3.32, 4 Ir 3.51
Cs2 0.5000 0.5000 0.0000  2 Cs 3.32, 4 Ir 3.51
Bi1 0.1432 0.3568 0.5000  4 Ir 2.86
Bi2 0.3568 0.8568 0.5000  4 Ir 2.86
Bi3 0.6432 0.1432 0.5000  4 Ir 2.86
Bi4 0.8568 0.6432 0.5000  4 Ir 2.86
Ir1 0.1205 0.6205 0.0000  4 Bi 2.86, 1 Ir 3.00
Ir2 0.3795 0.1205 0.0000  4 Bi 2.86, 1 Ir 3.00
Ir3 0.6205 0.8795 0.0000  4 Bi 2.86, 1 Ir 3.00
Ir4 0.8795 0.3795 0.0000  4 Bi 2.86, 1 Ir 3.00



Density functional theory data (PBE-GGA) for crystalline V2CrSbH at its relaxed geometry.

Summary:
Density of states at the Fermi level ... 3.6 states/eV/f.u.
Magnetization ... 1.492 μB per formula unit
Space-group type ... No. 123
Final energy ... -7.095 eV/atom

Cell lengths 3.9085, 3.9085, 4.0333 Å; angles 90.00, 90.00, 90.00 degrees
Closest atoms and distances in Å follow each position.
Fractional coordinates of all 5 atoms:
V1 0.0000 0.5000 0.0000  2 H 1.95
V2 0.5000 0.0000 0.0000  2 H 1.95
Cr1 0.0000 0.0000 0.5000  2 H 2.02
Sb1 0.5000 0.5000 0.5000  4 Cr 2.76, 8 V 2.81
H1 0.0000 0.0000 0.0000  4 V 1.95, 2 Cr 2.02



Density functional theory data (PBE-GGA) for crystalline BaVSe2Br at its relaxed geometry.

Summary:
Density of states at the Fermi level ... 3.6 states/eV/f.u.
Magnetization ... 2.044 μB per formula unit
Excess energy over the best structure of this formula in the dataset ... 0 meV per atom
Space-group type ... No. 123
Final energy ... -5.103 eV/atom

Cell lengths 5.0420, 5.0420, 5.2615 Å; angles 90.00, 90.00, 90.00 degrees
Closest atoms and distances in Å follow each position.
Fractional coordinates of all 5 atoms:
Ba1 0.0000 0.0000 0.0000  4 Br 3.57, 8 Se 3.64
V1 0.5000 0.5000 0.5000  4 Se 2.52, 2 Br 2.63
Se1 0.0000 0.5000 0.5000  2 V 2.52
Se2 0.5000 0.0000 0.5000  2 V 2.52
Br1 0.5000 0.5000 0.0000  2 V 2.63



Density functional theory data (PBE-GGA) for crystalline Tb2Pr2Y5 at its relaxed geometry.

Summary:
Density of states at the Fermi level ... 14.0 states/eV/f.u.
Magnetization ... 0.000 μB per formula unit
Excess energy over the best structure of this formula in the dataset ... 17 meV per atom
Space-group type ... No. 12
Energy of formation from the pure elements ... 22.69 kJ per mole of atoms
Final energy ... -5.447 eV/atom

Cell lengths 11.0818, 11.0818, 8.3294 Å; angles 100.27, 100.27, 18.24 degrees
Closest atoms and distances in Å follow each position.
Fractional coordinates of all 9 atoms:
Tb1 0.0464 0.0464 0.3573  7 Y 3.22-3.59, 3 Tb 3.39-3.51
Tb2 0.9536 0.9536 0.6427  7 Y 3.22-3.59, 3 Tb 3.39-3.51
Pr1 0.3189 0.3189 0.8558  2 Pr 3.51, 5 Y 3.54-3.93
Pr2 0.6811 0.6811 0.1442  2 Pr 3.51, 5 Y 3.54-3.93
Y1 0.1903 0.1903 0.5305  1 Tb 3.22, 6 Y 3.26-3.51, 1 Pr 3.54
Y2 0.4039 0.4039 0.2651  5 Y 3.31-3.51, 4 Tb 3.54-3.59, 1 Pr 3.58
Y3 0.5000 0.5000 0.0000  4 Y 3.31-3.51, 4 Tb 3.45
Y4 0.5961 0.5961 0.7349  5 Y 3.31-3.51, 4 Tb 3.54-3.59, 1 Pr 3.58
Y5 0.8097 0.8097 0.4695  1 Tb 3.22, 6 Y 3.26-3.51, 1 Pr 3.54



Density functional theory data (PBE-GGA) for crystalline SrPa2AlS8 at its relaxed geometry.

Summary:
Density of states at the Fermi level ... 6.0 states/eV/f.u.
Magnetization ... 0.000 μB per formula unit
Space-group type ... No. 10
Final energy ... -6.097 eV/atom

Cell lengths 6.1727, 8.3058, 6.1737 Å; angles 90.00, 93.72, 90.00 degrees
Closest atoms and distances in Å follow each position.
Fractional coordinates of all 12 atoms:
Sr1 0.0000 0.0000 0.0000  6 S 2.91-2.95
Pa1 0.5000 0.2558 0.5000  6 S 2.59-2.70
Pa2 0.5000 0.7442 0.5000  6 S 2.59-2.70
Al1 0.0000 0.5000 0.0000  4 S 2.37
S1 0.1958 0.2952 0.1945  1 Al 2.37, 1 Pa 2.59
S2 0.1958 0.7048 0.1945  1 Al 2.37, 1 Pa 2.59
S3 0.3024 0.5000 0.6967  2 Pa 2.70, 1 Al 2.73
S4 0.3211 0.0000 0.6756  2 Pa 2.66, 1 Sr 2.91
S5 0.6789 0.0000 0.3244  2 Pa 2.66, 1 Sr 2.91
S6 0.6976 0.5000 0.3033  2 Pa 2.70, 1 Al 2.73
S7 0.8042 0.2952 0.8055  1 Al 2.37, 1 Pa 2.59
S8 0.8042 0.7048 0.8055  1 Al 2.37, 1 Pa 2.59



Density functional theory data (PBE-GGA) for crystalline Y2OsCl at its relaxed geometry.

Summary:
Density of states at the Fermi level ... 1.6 states/eV/f.u.
Magnetization ... 0.000 μB per formula unit
Excess energy over the best structure of this formula in the dataset ... 82 meV per atom
Space-group type ... No. 123
Final energy ... -7.300 eV/atom

Cell lengths 3.3633, 3.3633, 8.0185 Å; angles 90.00, 90.00, 90.00 degrees
Closest atoms and distances in Å follow each position.
Fractional coordinates of all 4 atoms:
Y1 0.0000 0.0000 0.2111  4 Os 2.92
Y2 0.0000 0.0000 0.7889  4 Os 2.92
Os1 0.5000 0.5000 0.0000  8 Y 2.92
Cl1 0.5000 0.5000 0.5000  8 Y 3.32, 4 Cl 3.36